[1]
Here is a relaxed structure of LiMo2Rh from the Alexandria database. Energies are from PBE.

The structure in CIF format:
```
data_LiMo2Rh
_chemical_formula_sum 'Li1 Mo2 Rh1'
_cell_length_a 3.725
_cell_length_b 3.725
_cell_length_c 4.163
_cell_angle_alpha 90.00
_cell_angle_beta 90.00
_cell_angle_gamma 90.00
_space_group_name_H-M_alt 'P 4/m m m'
_space_group_IT_number 123
_space_group_name_Hall '-P 4 2'
loop_
_atom_site_label
_atom_site_fract_x
_atom_site_fract_y
_atom_site_fract_z
Li1 0.000 0.000 0.000
Mo1 0.000 0.500 0.500
Rh1 0.500 0.500 0.000
```

Computed properties:
Energy above the lowest structure with this stoichiometry: 0.135 eV/atom

***

[2]
Here is a relaxed structure of LiMo2Rh from the Alexandria database. Energies are from PBE.

The structure in CIF format:
```
data_LiMo2Rh
_chemical_formula_sum 'Li4 Mo8 Rh4'
_cell_length_a 6.153
_cell_length_b 6.153
_cell_length_c 6.153
_cell_angle_alpha 90.00
_cell_angle_beta 90.00
_cell_angle_gamma 90.00
_space_group_name_H-M_alt 'F m -3 m'
_space_group_IT_number 225
_space_group_name_Hall '-F 4 2 3'
loop_
_atom_site_label
_atom_site_fract_x
_atom_site_fract_y
_atom_site_fract_z
Li1 0.000 0.000 0.000
Mo1 0.250 0.250 0.250
Rh1 0.000 0.000 0.500
```

Computed properties:
Energy above the lowest structure with this stoichiometry: 0.392 eV/atom

***

[3]
Here is a relaxed structure of LiMoRh2 from the Alexandria database. Energies are from PBE.

The structure in CIF format:
```
data_LiMoRh2
_chemical_formula_sum 'Li1 Mo1 Rh2'
_cell_length_a 2.727
_cell_length_b 2.727
_cell_length_c 7.561
_cell_angle_alpha 90.00
_cell_angle_beta 90.00
_cell_angle_gamma 90.00
_space_group_name_H-M_alt 'P 4 m m'
_space_group_IT_number 99
loop_
_space_group_symop_operation_xyz
'x,y,z'
'-y,x,z'
'-x,-y,z'
'y,-x,z'
'-x,y,z'
'y,x,z'
'x,-y,z'
'-y,-x,z'
loop_
_atom_site_label
_atom_site_fract_x
_atom_site_fract_y
_atom_site_fract_z
Li1 0.000 0.000 0.000
Mo1 0.500 0.500 0.267
Rh1 0.000 0.000 0.527
Rh2 0.500 0.500 0.783
```

Computed properties:
Energy above the lowest structure with this stoichiometry: 0.342 eV/atom

***

[4]
Here is a relaxed structure of LiMo2Rh from the Alexandria database. Energies are from PBE.

The structure in CIF format:
```
data_LiMo2Rh
_chemical_formula_sum 'Li4 Mo8 Rh4'
_cell_length_a 6.143
_cell_length_b 6.143
_cell_length_c 6.143
_cell_angle_alpha 90.00
_cell_angle_beta 90.00
_cell_angle_gamma 90.00
_space_group_name_H-M_alt 'F -4 3 m'
_space_group_IT_number 216
_space_group_name_Hall 'F -4 2 3'
loop_
_atom_site_label
_atom_site_fract_x
_atom_site_fract_y
_atom_site_fract_z
Li1 0.000 0.000 0.000
Mo1 0.000 0.000 0.500
Mo2 0.250 0.250 0.750
Rh1 0.250 0.250 0.250
```

Computed properties:
Energy above the lowest structure with this stoichiometry: 0.126 eV/atom

***

[5]
Here is a relaxed structure of LiMoRh from the Alexandria database. Energies are from PBE.

The structure in CIF format:
```
data_LiMoRh
_chemical_formula_sum 'Li4 Mo4 Rh4'
_cell_length_a 5.833
_cell_length_b 5.833
_cell_length_c 5.833
_cell_angle_alpha 90.00
_cell_angle_beta 90.00
_cell_angle_gamma 90.00
_space_group_name_H-M_alt 'F -4 3 m'
_space_group_IT_number 216
_space_group_name_Hall 'F -4 2 3'
loop_
_atom_site_label
_atom_site_fract_x
_atom_site_fract_y
_atom_site_fract_z
Li1 0.000 0.000 0.000
Mo1 0.000 0.000 0.500
Rh1 0.250 0.250 0.750
```

Computed properties:
Energy above the lowest structure with this stoichiometry: 0.369 eV/atom

***

[6]
Here is a relaxed structure of LiMo5Rh6 from the Alexandria database. Energies are from PBE.

The structure in CIF format:
```
data_LiMo5Rh6
_chemical_formula_sum 'Li2 Mo10 Rh12'
_cell_length_a 3.931
_cell_length_b 11.704
_cell_length_c 7.637
_cell_angle_alpha 90.00
_cell_angle_beta 90.00
_cell_angle_gamma 90.00
_space_group_name_H-M_alt 'C m m m'
_space_group_IT_number 65
_space_group_name_Hall '-C 2 2'
loop_
_atom_site_label
_atom_site_fract_x
_atom_site_fract_y
_atom_site_fract_z
Li1 0.000 0.000 0.000
Mo1 0.000 0.000 0.500
Mo2 0.000 0.329 0.000
Mo3 0.000 0.332 0.500
Rh1 0.000 0.167 0.253
Rh2 0.000 0.500 0.243
```

***

[7]
Here is a relaxed structure of LiMoRh2 from the Alexandria database. Energies are from PBE.

The structure in CIF format:
```
data_LiMoRh2
_chemical_formula_sum 'Li1 Mo1 Rh2'
_cell_length_a 2.738
_cell_length_b 4.003
_cell_length_c 5.147
_cell_angle_alpha 90.00
_cell_angle_beta 90.00
_cell_angle_gamma 90.00
_space_group_name_H-M_alt 'P m m 2'
_space_group_IT_number 25
loop_
_space_group_symop_operation_xyz
'x,y,z'
'-x,-y,z'
'-x,y,z'
'x,-y,z'
loop_
_atom_site_label
_atom_site_fract_x
_atom_site_fract_y
_atom_site_fract_z
Li1 0.000 0.000 0.000
Mo1 0.500 0.500 0.281
Rh1 0.000 0.000 0.506
Rh2 0.500 0.500 0.819
```

Computed properties:
Energy above the lowest structure with this stoichiometry: 0.115 eV/atom

***

[8]
Here is a relaxed structure of LiMo3Rh from the Alexandria database. Energies are from PBE.

The structure in CIF format:
```
data_LiMo3Rh
_chemical_formula_sum 'Li1 Mo3 Rh1'
_cell_length_a 4.744
_cell_length_b 4.744
_cell_length_c 4.744
_cell_angle_alpha 90.00
_cell_angle_beta 90.00
_cell_angle_gamma 90.00
_space_group_name_H-M_alt 'P m -3 m'
_space_group_IT_number 221
_space_group_name_Hall '-P 4 2 3'
loop_
_atom_site_label
_atom_site_fract_x
_atom_site_fract_y
_atom_site_fract_z
Li1 0.000 0.000 0.000
Mo1 0.000 0.500 0.500
Rh1 0.500 0.500 0.500
```

Computed properties:
Energy above the lowest structure with this stoichiometry: 0.505 eV/atom

***

[9]
Here is a relaxed structure of LiMoRh3 from the Alexandria database. Energies are from PBE.

The structure in CIF format:
```
data_LiMoRh3
_chemical_formula_sum 'Li1 Mo1 Rh3'
_cell_length_a 4.696
_cell_length_b 4.696
_cell_length_c 4.696
_cell_angle_alpha 90.00
_cell_angle_beta 90.00
_cell_angle_gamma 90.00
_space_group_name_H-M_alt 'P m -3 m'
_space_group_IT_number 221
_space_group_name_Hall '-P 4 2 3'
loop_
_atom_site_label
_atom_site_fract_x
_atom_site_fract_y
_atom_site_fract_z
Li1 0.000 0.000 0.000
Mo1 0.500 0.500 0.500
Rh1 0.000 0.500 0.500
```

Computed properties:
Energy above the lowest structure with this stoichiometry: 0.252 eV/atom

***

[10]
Here is a relaxed structure of LiMoRh2 from the Alexandria database. Energies are from PBE.

The structure in CIF format:
```
data_LiMoRh2
_chemical_formula_sum 'Li1 Mo1 Rh2'
_cell_length_a 3.182
_cell_length_b 3.182
_cell_length_c 5.529
_cell_angle_alpha 90.00
_cell_angle_beta 90.00
_cell_angle_gamma 90.00
_space_group_name_H-M_alt 'P 4 m m'
_space_group_IT_number 99
loop_
_space_group_symop_operation_xyz
'x,y,z'
'-y,x,z'
'-x,-y,z'
'y,-x,z'
'-x,y,z'
'y,x,z'
'x,-y,z'
'-y,-x,z'
loop_
_atom_site_label
_atom_site_fract_x
_atom_site_fract_y
_atom_site_fract_z
Li1 0.000 0.000 0.000
Mo1 0.500 0.500 0.266
Rh1 0.000 0.000 0.504
Rh2 0.500 0.500 0.828
```

Computed properties:
Energy above the lowest structure with this stoichiometry: 0.272 eV/atom

***

[11]
Here is a relaxed structure of LiMoRh from the Alexandria database. Energies are from PBE.

The structure in CIF format:
```
data_LiMoRh
_chemical_formula_sum 'Li2 Mo2 Rh2'
_cell_length_a 3.004
_cell_length_b 3.004
_cell_length_c 9.116
_cell_angle_alpha 90.00
_cell_angle_beta 90.00
_cell_angle_gamma 90.00
_space_group_name_H-M_alt 'I 4 m m'
_space_group_IT_number 107
_space_group_name_Hall 'I 4 -2'
loop_
_atom_site_label
_atom_site_fract_x
_atom_site_fract_y
_atom_site_fract_z
Li1 0.000 0.000 0.000
Mo1 0.000 0.000 0.681
Rh1 0.000 0.000 0.349
```

Computed properties:
Energy above the lowest structure with this stoichiometry: 0.027 eV/atom

***

[12]
Here is a relaxed structure of LiMoRh2 from the Alexandria database. Energies are from PBE.

The structure in CIF format:
```
data_LiMoRh2
_chemical_formula_sum 'Li2 Mo2 Rh4'
_cell_length_a 8.416
_cell_length_b 2.725
_cell_length_c 4.944
_cell_angle_alpha 90.00
_cell_angle_beta 95.27
_cell_angle_gamma 90.00
_space_group_name_H-M_alt 'C 1 2/m 1'
_space_group_IT_number 12
loop_
_space_group_symop_operation_xyz
'x,y,z'
'-x,-y,-z'
'-x,y,-z'
'x,-y,z'
'x+1/2,y+1/2,z'
'-x+1/2,-y+1/2,-z'
'-x+1/2,y+1/2,-z'
'x+1/2,-y+1/2,z'
loop_
_atom_site_label
_atom_site_fract_x
_atom_site_fract_y
_atom_site_fract_z
Li1 0.000 0.000 0.000
Mo1 0.000 0.500 0.500
Rh1 0.249 0.500 0.240
```

Computed properties:
Energy above the lowest structure with this stoichiometry: 0.188 eV/atom

***

[13]
Here is a relaxed structure of LiMo2Rh from the Alexandria database. Energies are from PBE.

The structure in CIF format:
```
data_LiMo2Rh
_chemical_formula_sum 'Li1 Mo2 Rh1'
_cell_length_a 2.688
_cell_length_b 2.688
_cell_length_c 8.555
_cell_angle_alpha 90.00
_cell_angle_beta 90.00
_cell_angle_gamma 90.00
_space_group_name_H-M_alt 'P 4/m m m'
_space_group_IT_number 123
_space_group_name_Hall '-P 4 2'
loop_
_atom_site_label
_atom_site_fract_x
_atom_site_fract_y
_atom_site_fract_z
Li1 0.000 0.000 0.000
Mo1 0.500 0.500 0.267
Rh1 0.000 0.000 0.500
```

Computed properties:
Energy above the lowest structure with this stoichiometry: 0.213 eV/atom

***

[14]
Here is a relaxed structure of LiMoRh2 from the Alexandria database. Energies are from PBE.

The structure in CIF format:
```
data_LiMoRh2
_chemical_formula_sum 'Li1 Mo1 Rh2'
_cell_length_a 2.902
_cell_length_b 2.902
_cell_length_c 6.449
_cell_angle_alpha 90.00
_cell_angle_beta 90.00
_cell_angle_gamma 90.00
_space_group_name_H-M_alt 'P 4/m m m'
_space_group_IT_number 123
_space_group_name_Hall '-P 4 2'
loop_
_atom_site_label
_atom_site_fract_x
_atom_site_fract_y
_atom_site_fract_z
Li1 0.000 0.000 0.000
Mo1 0.000 0.000 0.500
Rh1 0.500 0.500 0.232
```

Computed properties:
Energy above the lowest structure with this stoichiometry: 0.000 eV/atom

***

[15]
Here is a relaxed structure of LiMo2Rh from the Alexandria database. Energies are from PBE.

The structure in CIF format:
```
data_LiMo2Rh
_chemical_formula_sum 'Li3 Mo6 Rh3'
_cell_length_a 2.7425
_cell_length_b 2.7425
_cell_length_c 28.4698
_cell_angle_alpha 90.00
_cell_angle_beta 90.00
_cell_angle_gamma 120.00
_space_group_name_H-M_alt 'R -3 m'
_space_group_IT_number 166
_space_group_name_Hall '-R 3 2"'
loop_
_atom_site_label
_atom_site_fract_x
_atom_site_fract_y
_atom_site_fract_z
Li1 0.0000 0.0000 0.0000
Mo1 0.0000 0.0000 0.2454
Rh1 0.0000 0.0000 0.5000
```

Computed properties:
Energy above the lowest structure with this stoichiometry: 0.183 eV/atom

***

| no. | ΔE_f (eV/atom) |
| --- | --- |
| 1 | 0.188 |
| 2 | 0.444 |
| 3 | 0.149 |
| 4 | 0.178 |
| 5 | 0.422 |
| 6 | -0.136 |
| 7 | -0.077 |
| 8 | 1.647 |
| 9 | 0.823 |
| 10 | 0.080 |
| 11 | 0.080 |
| 12 | -0.004 |
| 13 | 0.265 |
| 14 | -0.192 |
| 15 | 0.236 |